*A*
## LaTl2Pd2 (GGA-PBE)

Data for crystalline LaTl2Pd2 at its relaxed geometry.

Output
Crystal system: monoclinic
M_tot, Bohr magnetons per cell: 0.000

extended XYZ file:
```
10
Lattice="4.826 0.000 0.000 0.000 5.269 -1.462 0.000 0.082 9.477" Properties=species:S:1:pos:R:3 pbc="T T T"
La 1.207 1.018 2.267
La 3.620 4.334 5.748
Tl 1.207 3.433 8.146
Tl 3.620 1.919 -0.131
Tl 1.207 1.200 5.634
Tl 3.620 4.152 2.380
Pd 1.207 3.534 3.962
Pd 3.620 1.817 4.053
Pd 1.207 0.618 8.414
Pd 3.620 4.734 -0.400
```



*B*
## LaTl2Pd2 (GGA-PBE)

Data for crystalline LaTl2Pd2 at its relaxed geometry.

Output
Crystal system: tetragonal
M_tot, Bohr magnetons per cell: 0.000

extended XYZ file:
```
10
Lattice="7.625 0.000 0.000 0.000 7.625 0.000 0.000 0.000 4.082" Properties=species:S:1:pos:R:3 pbc="T T T"
Tl 1.230 5.042 2.041
Tl 5.042 6.395 2.041
Tl 6.395 2.582 2.041
Tl 2.582 1.230 2.041
Pd 2.820 6.633 0.000
Pd 6.633 4.804 0.000
Pd 4.804 0.992 0.000
Pd 0.992 2.820 0.000
La 0.000 0.000 0.000
La 3.812 3.812 0.000
```



Relative to the most stable one, in kJ/mol of atoms, the structures come out at *A* 0.0; *B* 12.4.